(1)
Here is a relaxed structure of Sm5Dy2YTh from Alexandria. Energies are from PBE.

a b c (Å): 5.6502 20.4496 10.5250
angles (deg): 90.00 90.00 90.00
Closest atoms and distances in Å follow each position.
Space group Cmc2_1 (No. 36)
Inequivalent atoms, fractional coordinates:
1 Sm 0.0000 0.0143 0.0000 (multiplicity 4)  2 Y 3.33, 4 Dy 3.42-3.71, 2 Sm 3.69
2 Sm 0.0000 0.2754 0.7060 (multiplicity 4)  1 Y 3.07, 1 Dy 3.29, 2 Sm 3.36
3 Sm 0.0000 0.2945 0.3137 (multiplicity 4)  2 Sm 3.36, 1 Y 3.48, 2 Th 3.48, 3 Dy 3.57-3.72
4 Sm 0.0000 0.3870 0.9931 (multiplicity 4)  6 Sm 3.53-3.87, 4 Dy 3.58-3.61, 1 Th 3.84
5 Sm 0.0000 0.4802 0.2754 (multiplicity 4)  2 Y 3.22-3.39, 2 Dy 3.50, 2 Sm 3.53-3.55
6 Dy 0.0000 0.1132 0.2838 (multiplicity 4)  1 Th 3.41, 7 Sm 3.46-3.72, 2 Y 3.68
7 Dy 0.0000 0.1147 0.7060 (multiplicity 4)  8 Sm 3.29-3.61, 1 Th 3.60
8 Y 0.0000 0.4061 0.5633 (multiplicity 4)  5 Sm 3.07-3.39
9 Th 0.0000 0.1992 0.0065 (multiplicity 4)  2 Dy 3.41-3.60, 7 Sm 3.48-3.78, 2 Y 3.60

Calculated values
Final energy in eV/atom: -5.0259
Calculated density in g/cm³: 7.63
DOS(E_F) in states/eV/f.u.: 14.347
E_form in eV per atom: 0.161

(2)
Here is a relaxed structure of SmDy5Y2Th from Alexandria. Energies are from PBE.

a b c (Å): 5.7211 21.3582 9.8090
angles (deg): 90.00 90.00 90.00
Closest atoms and distances in Å follow each position.
Space group Cmc2_1 (No. 36)
Inequivalent atoms, fractional coordinates:
1 Sm 0.0000 0.1913 0.0000 (multiplicity 4)  2 Y 3.28-3.47, 5 Dy 3.44-3.53, 2 Th 3.68
2 Dy 0.0000 0.0153 0.0011 (multiplicity 4)  3 Y 3.35-3.74, 2 Th 3.43, 2 Dy 3.60
3 Dy 0.0000 0.2733 0.3043 (multiplicity 4)  1 Th 3.04, 1 Y 3.36
4 Dy 0.0000 0.3040 0.6945 (multiplicity 4)  3 Sm 3.44-3.84, 4 Dy 3.47-3.81, 3 Y 3.53-3.79, 1 Th 3.60
5 Dy 0.0000 0.4004 0.0214 (multiplicity 4)  2 Dy 3.28-3.42, 4 Y 3.39-3.53
6 Dy 0.0000 0.4687 0.7215 (multiplicity 4)  2 Th 3.20-3.36, 3 Dy 3.28-3.53, 2 Y 3.50
7 Y 0.0000 0.1159 0.3134 (multiplicity 4)  9 Dy 3.35-3.74, 1 Sm 3.47
8 Y 0.0000 0.1265 0.6964 (multiplicity 4)  1 Sm 3.28, 3 Dy 3.39-3.58, 2 Th 3.59
9 Th 0.0000 0.4077 0.4054 (multiplicity 4)  3 Dy 3.04-3.36

Calculated values
Final energy in eV/atom: -5.1814
Calculated density in g/cm³: 7.61
DOS(E_F) in states/eV/f.u.: 11.936
E_form in eV per atom: 0.161

(3)
Here is a relaxed structure of Sm2DyYTh from Alexandria. Energies are from PBE.

a b c (Å): 8.2728 6.5219 6.3598
angles (deg): 90.00 90.05 90.00
Closest atoms and distances in Å follow each position.
Space group P2/c (No. 13)
Inequivalent atoms, fractional coordinates:
1 Sm 0.1945 0.2090 0.2503 (multiplicity 4)  1 Th 3.10, 1 Sm 3.22
2 Dy 0.5000 0.5000 0.0000 (multiplicity 2)  2 Dy 3.18, 2 Th 3.25, 4 Sm 3.54
3 Y 0.0000 0.3164 0.7500 (multiplicity 2)  8 Sm 3.49-3.79
4 Th 0.5000 0.0656 0.7500 (multiplicity 2)  2 Sm 3.10, 2 Dy 3.25, 2 Th 3.29

Calculated values
Final energy in eV/atom: -5.2807
Calculated density in g/cm³: 7.59
DOS(E_F) in states/eV/f.u.: 6.709
E_form in eV per atom: 0.304

(4)
Here is a relaxed structure of SmDy3YTh from Alexandria. Energies are from PBE.

a b c (Å): 7.9557 5.0666 10.1218
angles (deg): 90.00 108.56 90.00
Closest atoms and distances in Å follow each position.
Space group P2_1/m (No. 11)
Inequivalent atoms, fractional coordinates:
1 Sm 0.0003 0.2500 0.1286 (multiplicity 2)  7 Dy 3.50-3.60, 1 Y 3.52, 2 Th 3.58, 2 Sm 3.63
2 Dy 0.3256 0.2500 0.4571 (multiplicity 2)  3 Th 3.50-3.53, 1 Sm 3.50, 3 Y 3.57-3.64, 5 Dy 3.58-3.65
3 Dy 0.3321 0.7500 0.2095 (multiplicity 2)  3 Sm 3.56-3.60, 1 Th 3.57, 6 Dy 3.58-3.60, 2 Y 3.60
4 Dy 0.3332 0.2500 0.9569 (multiplicity 2)  3 Sm 3.57-3.60, 5 Dy 3.57-3.60, 3 Y 3.57-3.61, 1 Th 3.58
5 Y 0.3279 0.7500 0.7065 (multiplicity 2)  3 Th 3.51-3.54, 1 Sm 3.52, 8 Dy 3.57-3.64
6 Th 0.9996 0.2500 0.6221 (multiplicity 2)  5 Dy 3.50-3.58, 3 Y 3.51-3.54, 2 Th 3.54, 2 Sm 3.58

Calculated values
Final energy in eV/atom: -5.3710
Calculated density in g/cm³: 8.23
DOS(E_F) in states/eV/f.u.: 9.119
E_form in eV per atom: 0.031